Record 1
Sm3Bi5Pd12 | PBE | relaxed

```
Sm3Bi5Pd12
1.0
-4.573 11.451 6.394
-8.621 -10.555 2.680
12.718 -3.120 4.628
Bi Pd Sm
20 48 12
direct
0.500 0.000 0.500
0.250 0.375 0.625
0.875 0.250 0.625
0.750 0.125 0.875
0.500 0.000 0.000
0.750 0.625 0.375
0.500 0.500 0.000
0.125 0.375 0.250
0.875 0.625 0.750
0.000 0.500 0.000
0.375 0.250 0.125
0.000 0.000 0.000
0.000 0.000 0.500
0.625 0.875 0.250
0.500 0.500 0.500
0.250 0.875 0.125
0.625 0.750 0.875
0.375 0.125 0.750
0.000 0.500 0.500
0.125 0.750 0.375
0.647 0.070 0.225
0.147 0.725 0.570
0.147 0.421 0.077
0.656 0.225 0.579
0.579 0.853 0.423
0.156 0.079 0.725
0.421 0.147 0.577
0.070 0.423 0.844
0.853 0.275 0.430
0.647 0.577 0.921
0.923 0.844 0.570
0.353 0.423 0.079
0.775 0.430 0.353
0.579 0.725 0.656
0.070 0.647 0.725
0.570 0.225 0.147
0.725 0.147 0.070
0.930 0.353 0.275
0.577 0.647 0.421
0.079 0.923 0.353
0.275 0.421 0.844
0.225 0.570 0.647
0.853 0.579 0.923
0.079 0.156 0.225
0.930 0.577 0.156
0.225 0.656 0.079
0.421 0.275 0.344
0.577 0.930 0.656
0.423 0.070 0.344
0.344 0.570 0.423
0.921 0.844 0.775
0.921 0.077 0.647
0.923 0.079 0.853
0.656 0.430 0.577
0.430 0.656 0.077
0.844 0.923 0.070
0.353 0.930 0.775
0.156 0.077 0.930
0.077 0.156 0.430
0.423 0.353 0.579
0.844 0.921 0.275
0.725 0.579 0.156
0.430 0.775 0.853
0.344 0.775 0.421
0.570 0.344 0.923
0.275 0.853 0.930
0.775 0.344 0.921
0.077 0.921 0.147
0.750 0.375 0.125
0.250 0.625 0.875
0.625 0.250 0.375
0.875 0.750 0.125
0.250 0.125 0.375
0.750 0.875 0.625
0.375 0.625 0.250
0.125 0.875 0.750
0.875 0.125 0.250
0.125 0.250 0.875
0.625 0.375 0.750
0.375 0.750 0.625
```

Output
Formation enthalpy at 0 K ... -0.209 eV per atom

Record 2
Ce2SmPt3 | PBE | relaxed

```
Ce2SmPt3
1.0
-0.279 5.761 1.014
-5.393 -1.339 6.122
6.189 -3.029 2.000
Sm Ce Pt
2 4 6
direct
0.000 0.250 0.000
0.000 0.750 0.000
0.666 0.583 0.332
0.334 0.917 0.668
0.334 0.417 0.668
0.666 0.083 0.332
0.500 0.750 0.000
0.829 0.415 0.658
0.500 0.250 0.000
0.171 0.085 0.342
0.829 0.915 0.658
0.171 0.585 0.342
```

Output
Distance to the lowest polymorph of the same formula ... 4 meV per atom
Formation enthalpy at 0 K ... -1.067 eV per atom

Record 3
Li5Ca12Pm3 | PBE | relaxed

```
Li5Ca12Pm3
1.0
16.426 0.000 0.000
-5.475 15.487 0.000
-5.475 -7.743 13.412
Pm Li Ca
12 20 48
direct
0.875 0.125 0.250
0.375 0.625 0.250
0.625 0.375 0.750
0.625 0.250 0.375
0.750 0.375 0.125
0.750 0.875 0.625
0.125 0.875 0.750
0.250 0.125 0.375
0.375 0.750 0.625
0.125 0.250 0.875
0.875 0.750 0.125
0.250 0.625 0.875
0.000 0.500 0.500
0.125 0.750 0.375
0.875 0.250 0.625
0.000 0.000 0.000
0.000 0.000 0.500
0.375 0.125 0.750
0.750 0.125 0.875
0.500 0.500 0.000
0.875 0.625 0.750
0.750 0.625 0.375
0.250 0.875 0.125
0.250 0.375 0.625
0.375 0.250 0.125
0.000 0.500 0.000
0.625 0.875 0.250
0.125 0.375 0.250
0.625 0.750 0.875
0.500 0.000 0.000
0.500 0.000 0.500
0.500 0.500 0.500
0.289 0.403 0.827
0.962 0.386 0.289
0.924 0.827 0.538
0.597 0.886 0.424
0.789 0.327 0.903
0.576 0.614 0.403
0.424 0.038 0.327
0.673 0.211 0.597
0.038 0.424 0.827
0.327 0.538 0.424
0.114 0.711 0.538
0.711 0.114 0.038
0.424 0.386 0.597
0.386 0.962 0.789
0.462 0.789 0.886
0.327 0.789 0.403
0.903 0.827 0.789
0.403 0.289 0.327
0.886 0.597 0.924
0.097 0.924 0.386
0.173 0.076 0.962
0.789 0.462 0.386
0.462 0.673 0.076
0.711 0.597 0.173
0.289 0.886 0.962
0.962 0.576 0.173
0.114 0.403 0.076
0.211 0.673 0.097
0.673 0.462 0.576
0.827 0.924 0.038
0.173 0.097 0.711
0.597 0.711 0.673
0.211 0.538 0.614
0.386 0.424 0.097
0.886 0.289 0.462
0.827 0.903 0.289
0.097 0.173 0.211
0.903 0.076 0.614
0.076 0.173 0.462
0.538 0.327 0.924
0.614 0.576 0.903
0.076 0.903 0.114
0.038 0.614 0.711
0.614 0.038 0.211
0.403 0.114 0.576
0.924 0.097 0.886
0.576 0.962 0.673
0.538 0.211 0.114
```

Output
Formation enthalpy at 0 K ... 0.551 eV per atom

Record 4
NaLaAgPd | PBE | relaxed

```
NaLaAgPd
1.0
-2.770 1.704 3.985
-4.852 -1.589 0.626
-1.185 -3.187 3.859
Na Ag La Pd
1 1 1 1
direct
0.500 0.500 0.500
0.250 0.250 0.250
0.000 0.000 0.000
0.750 0.750 0.750
```

Output
Formation enthalpy at 0 K ... -0.295 eV per atom

Record 5
Nd4Ag3 | PBE | relaxed

```
Nd4Ag3
1.0
6.589 0.000 0.000
-2.196 8.217 0.000
-2.196 -4.109 7.116
Nd Ag
8 6
direct
0.500 0.000 0.000
0.373 0.448 0.148
0.627 0.552 0.852
0.924 0.700 0.552
0.076 0.300 0.448
0.225 0.852 0.300
0.775 0.148 0.700
0.000 0.000 0.000
0.540 0.279 0.411
0.261 0.133 0.721
0.872 0.411 0.133
0.739 0.867 0.279
0.460 0.721 0.589
0.128 0.589 0.867
```

Output
Distance to the lowest polymorph of the same formula ... 0 meV per atom
Formation enthalpy at 0 K ... -0.165 eV per atom

Record 6
Ca3MnPb | PBE | relaxed

```
Ca3MnPb
1.0
-0.246 5.303 -1.350
-3.414 -1.204 -4.111
-4.277 0.657 3.359
Ca Mn Pb
3 1 1
direct
0.500 0.000 0.000
0.000 0.500 0.000
0.000 0.000 0.500
0.000 0.000 0.000
0.500 0.500 0.500
```

Output
Distance to the lowest polymorph of the same formula ... 0 meV per atom
Formation enthalpy at 0 K ... 0.313 eV per atom

Record 7
K4NaCl5 | PBE | relaxed

```
K4NaCl5
1.0
-5.943 -16.089 6.463
-5.803 -17.243 2.222
-2.193 -17.576 4.712
K Cl Na
4 5 1
direct
0.396 0.396 0.396
0.604 0.604 0.604
0.201 0.201 0.201
0.799 0.799 0.799
0.305 0.305 0.305
0.695 0.695 0.695
0.500 0.500 0.500
0.903 0.903 0.903
0.097 0.097 0.097
0.000 0.000 0.000
```

Output
Distance to the lowest polymorph of the same formula ... 0 meV per atom
Energy relative to the elements, uncorrected ... -19.2 eV/f.u.

Record 8
Ho6InPd2 | PBE | relaxed

```
Ho6InPd2
1.0
8.545 -0.049 -0.112
-3.283 7.889 0.112
-2.916 -3.729 7.115
Pd Ho In
4 12 2
direct
0.345 0.000 0.345
0.500 0.367 0.867
0.500 0.633 0.133
0.655 0.000 0.655
0.527 0.710 0.817
0.106 0.290 0.817
0.200 0.237 0.437
0.800 0.763 0.563
0.894 0.711 0.183
0.800 0.237 0.037
0.700 0.373 0.673
0.300 0.973 0.673
0.200 0.763 0.963
0.300 0.627 0.327
0.700 0.027 0.327
0.473 0.289 0.183
0.000 0.000 0.000
0.000 0.500 0.500
```

Output
Formation enthalpy at 0 K ... -0.550 eV per atom

no.,Fermi-level density of states (states/eV/f.u.),size of the total moment (Bohr magnetons per cell)
1,13.60,0.00
2,10.46,1.77
3,27.81,16.84
4,2.36,0.00
5,7.76,0.00
6,4.78,3.19
7,0.00,0.00
8,8.69,0.00